# 1
{"formula": "YZnRh", "functional": "PBE", "state": "optimized geometry", "lattice": [[0.0000, 3.2645, 3.2645], [3.2645, 0.0000, 3.2645], [3.2645, 3.2645, 0.0000]], "species": ["Y", "Zn", "Rh"], "frac_coords": [[0.0000, 0.0000, 0.0000], [0.2500, 0.2500, 0.2500], [0.7500, 0.7500, 0.7500]], "density_g_cm3": 6.1, "dft_energy_ev_per_atom": -4.95, "formation_enthalpy_0k_ev_per_atom": 0.08}


# 2
{"formula": "Y2ZnRh", "functional": "PBE", "state": "optimized geometry", "lattice": [[4.9044, 0.0000, 0.0000], [0.0000, 4.9044, 0.0000], [0.0000, 0.0000, 3.5619]], "species": ["Y", "Y", "Zn", "Rh"], "frac_coords": [[0.0000, 0.5000, 0.0000], [0.5000, 0.0000, 0.0000], [0.0000, 0.0000, 0.5000], [0.5000, 0.5000, 0.5000]], "density_g_cm3": 6.7, "dft_energy_ev_per_atom": -5.98, "formation_enthalpy_0k_ev_per_atom": -0.59}